Material: CrPbAuF6
Method: DFT, PBE with a Hubbard U
State: relaxed

Cell: 6.1314 6.1314 8.8319 Å, 90.00 90.00 120.00°
With the nearest neighbours (Å) after each atom.
Atoms (fractional coordinates):
Cr 0.3333 0.6667 0.7500  6 F 1.96
Cr 0.6667 0.3333 0.2500  6 F 1.96
Au 0.0000 0.0000 0.5000  6 F 2.55
Au 0.0000 0.0000 0.0000  6 F 2.55
F 0.4010 0.0653 0.1285  1 Cr 1.96
F 0.0653 0.4010 0.6285  1 Cr 1.96
F 0.5990 0.6643 0.6285  1 Cr 1.96
F 0.9347 0.5990 0.3715  1 Cr 1.96
F 0.6643 0.5990 0.1285  1 Cr 1.96
F 0.4010 0.3357 0.3715  1 Cr 1.96
F 0.0653 0.6643 0.8715  1 Cr 1.96
F 0.5990 0.9347 0.8715  1 Cr 1.96
F 0.6643 0.0653 0.3715  1 Cr 1.96
F 0.3357 0.4010 0.8715  1 Cr 1.96
F 0.9347 0.3357 0.1285  1 Cr 1.96
F 0.3357 0.9347 0.6285  1 Cr 1.96
Pb 0.6667 0.3333 0.7500  6 F 2.51
Pb 0.3333 0.6667 0.2500  6 F 2.51

Values from the calculation:
* electronic total energy: -87.83 eV/cell



Material: Cr2PbAuF
Method: DFT, PBE with a Hubbard U
State: relaxed

Cell: 5.4769 4.5026 5.4769 Å, 90.00 90.00 90.00°
With the nearest neighbours (Å) after each atom.
Atoms (fractional coordinates):
Pb 0.0000 0.0000 0.0000  2 F 2.25
Cr 0.0000 0.0000 0.5000  2 Pb 2.74
Cr 0.5000 0.0000 0.0000  2 Pb 2.74
Au 0.5000 0.5000 0.5000  8 Cr 3.55, 4 F 3.87
F 0.0000 0.5000 0.0000  2 Pb 2.25

Values from the calculation:
* electronic total energy: -22.45 eV/cell



Material: Rb2CrAuF6
Method: DFT, PBE with a Hubbard U
State: relaxed

Cell: 6.6726 6.6726 6.2461 Å, 57.71 57.71 90.00°
With the nearest neighbours (Å) after each atom.
Atoms (fractional coordinates):
Rb 0.2500 0.7500 0.5000  12 F 3.15-3.34
Rb 0.7500 0.2500 0.5000  12 F 3.15-3.34
Au 0.0000 0.0000 0.0000  2 F 2.10
F 0.7431 0.7431 0.5139  1 Cr 1.99, 1 Au 2.10
F 0.2949 0.7051 0.0000  1 Cr 1.94
F 0.2949 0.2949 0.0000  1 Cr 1.94
F 0.2569 0.2569 0.4861  1 Cr 1.99, 1 Au 2.10
F 0.7051 0.2949 0.0000  1 Cr 1.94
F 0.7051 0.7051 0.0000  1 Cr 1.94
Cr 0.5000 0.5000 0.0000  6 F 1.94-1.99

Values from the calculation:
* electronic total energy: -47.13 eV/cell



Material: RbCrAuF6
Method: DFT, PBE with a Hubbard U
State: relaxed

Cell: 5.7395 6.0281 5.6900 Å, 91.70 90.82 58.65°
With the nearest neighbours (Å) after each atom.
Atoms (fractional coordinates):
F 0.6461 0.9698 0.3439  1 Cr 2.00, 1 Au 2.18
F 0.9728 0.6321 0.6943  1 Cr 2.01, 1 Au 2.17
F 0.3997 0.6834 0.2843  1 Cr 1.89
F 0.6464 0.3842 0.6562  1 Cr 2.00, 1 Au 2.19
F 0.4063 0.9150 0.7206  1 Cr 1.89
F 0.9690 0.3975 0.3023  1 Cr 2.01, 1 Au 2.18
Au 0.3248 0.3360 0.4991  4 F 2.17-2.19
Rb 0.9764 0.0112 0.9990  6 F 2.74-2.86
Cr 0.6584 0.6708 0.5002  6 F 1.89-2.01

Values from the calculation:
* electronic total energy: -42.09 eV/cell



Material: Cr2RhAuF
Method: DFT, PBE with a Hubbard U
State: relaxed

Cell: 4.9053 4.9817 4.9053 Å, 90.00 90.00 90.00°
With the nearest neighbours (Å) after each atom.
Atoms (fractional coordinates):
Rh 0.0000 0.0000 0.0000  4 Cr 2.45, 2 Au 2.49
Au 0.0000 0.5000 0.0000  2 Rh 2.49
F 0.5000 0.5000 0.5000  4 Au 3.47, 8 Cr 3.50
Cr 0.0000 0.0000 0.5000  2 Rh 2.45
Cr 0.5000 0.0000 0.0000  2 Rh 2.45

Values from the calculation:
* electronic total energy: -24.66 eV/cell



Material: Sr2CrAuF
Method: DFT, PBE with a Hubbard U
State: relaxed

Cell: 6.1347 4.9621 6.1347 Å, 90.00 90.00 90.00°
With the nearest neighbours (Å) after each atom.
Atoms (fractional coordinates):
Cr 0.0000 0.0000 0.0000  2 Au 2.48
Au 0.0000 0.5000 0.0000  2 Cr 2.48
Sr 0.0000 0.0000 0.5000  2 Cr 3.07
Sr 0.5000 0.0000 0.0000  2 Cr 3.07
F 0.5000 0.5000 0.5000  8 Sr 3.95, 4 Au 4.34

Values from the calculation:
* electronic total energy: -17.69 eV/cell



| no. | ρ (Mg/m³) |
| --- | --- |
| 1 | 6.6 |
| 2 | 6.5 |
| 3 | 4.9 |
| 4 | 4.4 |
| 5 | 5.9 |
| 6 | 3.9 |